<a>
Computed, not measured: crystalline Ni8B2H at its relaxed geometry at the PBE level of DFT.

```
Ni8B2H
1.0
-2.045 -1.006 -1.358
3.696 -1.148 -4.715
1.794 -4.956 3.560
B Ni H
2 8 1
direct
0.179 0.746 0.357
0.821 0.254 0.643
0.012 0.205 0.025
0.593 0.550 0.187
0.657 0.985 0.313
0.210 0.330 0.421
0.988 0.795 0.975
0.343 0.015 0.687
0.790 0.670 0.579
0.407 0.450 0.813
0.500 0.000 0.000
```



<b>
Computed, not measured: crystalline Ni8B2H at its relaxed geometry at the PBE level of DFT.

```
Ni8B2H
1.0
2.537 0.000 -0.638
-0.009 4.980 -0.035
0.617 0.158 7.817
H Ni B
1 8 2
direct
0.500 0.000 0.000
0.380 0.997 0.761
0.003 0.748 0.006
0.614 0.488 0.228
0.386 0.512 0.772
0.235 0.260 0.470
0.997 0.252 0.994
0.765 0.740 0.530
0.620 0.003 0.239
0.167 0.735 0.334
0.833 0.265 0.666
```



Of them, the most stable is <a> and the least stable is <b>.



<a>
Computed, not measured: crystalline Ni4BH2 at its relaxed geometry at the PBE level of DFT.

```
Ni4BH2
1.0
-1.731 -1.084 1.724
-1.404 -1.072 -4.155
5.074 -7.677 0.266
Ni H B
8 4 2
direct
0.777 0.555 0.118
0.500 0.000 0.500
0.500 0.000 0.000
0.223 0.445 0.882
0.223 0.445 0.618
0.056 0.112 0.250
0.944 0.888 0.750
0.777 0.555 0.382
0.871 0.742 0.944
0.129 0.258 0.444
0.871 0.742 0.556
0.129 0.258 0.056
0.384 0.767 0.250
0.616 0.233 0.750
```



<b>
Computed, not measured: crystalline Ni4BH2 at its relaxed geometry at the PBE level of DFT.

```
Ni4BH2
1.0
3.802 0.000 0.000
0.000 3.802 0.000
1.901 1.901 4.134
H Ni B
2 4 1
direct
0.421 0.421 0.158
0.579 0.579 0.842
0.232 0.232 0.535
0.000 0.500 0.000
0.768 0.768 0.465
0.500 0.000 0.000
0.000 0.000 0.000
```



Of them, the most stable is <a> and the least stable is <b>.



<a>
Computed, not measured: crystalline NiB2H at its relaxed geometry at the PBE level of DFT.

```
NiB2H
1.0
3.259 0.000 0.000
0.000 3.259 0.000
1.629 1.629 5.440
H Ni B
2 2 4
direct
0.500 0.500 0.000
0.250 0.750 0.500
0.750 0.250 0.500
0.000 0.000 0.000
0.375 0.625 0.250
0.375 0.625 0.750
0.375 0.125 0.250
0.875 0.625 0.750
```



<b>
Computed, not measured: crystalline NiB2H at its relaxed geometry at the PBE level of DFT.

```
NiB2H
1.0
3.290 -0.549 -0.418
1.613 -2.157 2.011
1.072 -2.947 -1.211
Ni H B
1 1 2
direct
0.500 0.500 0.500
0.000 0.000 0.000
0.750 0.750 0.750
0.250 0.250 0.250
```



Of them, the most stable is <a> and the least stable is <b>.



<a>
Computed, not measured: crystalline Ni3BH at its relaxed geometry at the PBE level of DFT.

```
Ni3BH
1.0
4.940 0.043 0.034
1.168 5.788 -0.185
1.168 1.181 5.669
Ni B H
12 4 4
direct
0.064 0.699 0.030
0.574 0.696 0.026
0.564 0.030 0.699
0.932 0.639 0.640
0.432 0.640 0.639
0.436 0.970 0.301
0.068 0.361 0.360
0.426 0.304 0.974
0.926 0.974 0.304
0.936 0.301 0.970
0.568 0.360 0.361
0.074 0.026 0.696
0.250 0.341 0.659
0.750 0.659 0.341
0.750 0.005 0.995
0.250 0.995 0.005
0.173 0.825 0.496
0.327 0.504 0.175
0.673 0.496 0.825
0.827 0.175 0.504
```



<b>
Computed, not measured: crystalline Ni3BH at its relaxed geometry at the PBE level of DFT.

```
Ni3BH
1.0
-1.622 0.439 3.002
2.547 -1.652 1.618
1.648 2.985 0.454
B Ni H
1 3 1
direct
0.500 0.500 0.500
0.000 0.000 0.500
0.500 0.000 0.000
0.000 0.500 0.000
0.000 0.000 0.000
```



<c>
Computed, not measured: crystalline Ni3BH at its relaxed geometry at the PBE level of DFT.

```
Ni3BH
1.0
2.890 0.000 0.000
0.000 5.369 0.000
0.000 0.000 11.027
Ni H B
12 4 4
direct
0.750 0.633 0.436
0.250 0.516 0.098
0.250 0.016 0.402
0.250 0.367 0.564
0.250 0.189 0.773
0.750 0.984 0.598
0.250 0.689 0.727
0.750 0.311 0.273
0.250 0.867 0.936
0.750 0.811 0.227
0.750 0.484 0.902
0.750 0.133 0.064
0.750 0.515 0.751
0.250 0.985 0.251
0.750 0.015 0.749
0.250 0.485 0.249
0.750 0.754 0.045
0.250 0.246 0.955
0.750 0.254 0.455
0.250 0.746 0.545
```



Of them, the most stable is <a> and the least stable is <b>.



<a>
Computed, not measured: crystalline NiB3H at its relaxed geometry at the PBE level of DFT.

```
NiB3H
1.0
-1.609 2.490 -2.262
-1.309 -2.773 -2.121
-3.098 -0.122 2.071
B H Ni
3 1 1
direct
0.500 0.000 0.000
0.000 0.000 0.500
0.000 0.500 0.000
0.500 0.500 0.500
0.000 0.000 0.000
```



<b>
Computed, not measured: crystalline NiB3H at its relaxed geometry at the PBE level of DFT.

```
NiB3H
1.0
3.157 0.000 0.000
0.000 3.157 0.000
0.000 0.000 3.157
B H Ni
3 1 1
direct
0.500 0.000 0.000
0.000 0.000 0.500
0.000 0.500 0.000
0.000 0.000 0.000
0.500 0.500 0.500
```



Of them, the most stable is <b> and the least stable is <a>.



<a>
Computed, not measured: crystalline NiBH3 at its relaxed geometry at the PBE level of DFT.

```
NiBH3
1.0
-0.218 -2.980 0.489
2.621 0.057 1.514
-1.499 0.533 2.576
H B Ni
3 1 1
direct
0.000 0.000 0.500
0.500 0.000 0.000
0.000 0.500 0.000
0.000 0.000 0.000
0.500 0.500 0.500
```



<b>
Computed, not measured: crystalline NiBH3 at its relaxed geometry at the PBE level of DFT.

```
NiBH3
1.0
-2.523 1.214 1.596
0.976 -1.498 2.681
1.753 2.582 0.805
H Ni B
3 1 1
direct
0.000 0.000 0.500
0.000 0.500 0.000
0.500 0.000 0.000
0.000 0.000 0.000
0.500 0.500 0.500
```



Of them, the most stable is <a> and the least stable is <b>.